[1]
! YUIn GGA-PBE relaxed; values from VASP
! **Space group**: C2/m
! **Theoretical density**: 9.31 g/cm3
! **M_tot**: 3.13 μB/cell
! **VASP energy**: -6.945 eV/atom
&SYSTEM
  ibrav = 0, nat = 6, ntyp = 3
/
ATOMIC_SPECIES
Y 88.91 Y.upf
U 238.03 U.upf
In 114.82 In.upf
CELL_PARAMETERS angstrom
8.2615 -1.8066 0.0000
8.2615 1.8066 0.0000
-0.4243 0.0000 5.2817
ATOMIC_POSITIONS crystal
Y 0.0880 0.0880 0.3067
Y 0.9120 0.9120 0.6933
U 0.2428 0.2428 0.8302
U 0.7572 0.7572 0.1698
In 0.4211 0.4211 0.1880
In 0.5789 0.5789 0.8120


[2]
! RbTbScCl6 GGA-PBE relaxed; values from VASP
! **Space group**: P-31c
! **Theoretical density**: 2.78 g/cm3
! **M_tot**: 2.05 μB/cell
! **VASP energy**: -4.635 eV/atom
&SYSTEM
  ibrav = 0, nat = 18, ntyp = 4
/
ATOMIC_SPECIES
Rb 85.47 Rb.upf
Tb 158.93 Tb.upf
Sc 44.96 Sc.upf
Cl 35.45 Cl.upf
CELL_PARAMETERS angstrom
6.7985 0.0000 0.0000
-3.3993 5.8877 0.0000
0.0000 0.0000 15.0097
ATOMIC_POSITIONS crystal
Rb 0.0000 0.0000 0.0000
Rb 0.0000 0.0000 0.5000
Tb 0.3333 0.6667 0.2500
Tb 0.6667 0.3333 0.7500
Sc 0.3333 0.6667 0.7500
Sc 0.6667 0.3333 0.2500
Cl 0.0094 0.3726 0.6484
Cl 0.0094 0.6368 0.8516
Cl 0.3632 0.3726 0.8516
Cl 0.3632 0.9906 0.6484
Cl 0.3726 0.0094 0.1484
Cl 0.3726 0.3632 0.3516
Cl 0.6274 0.6368 0.6484
Cl 0.6274 0.9906 0.8516
Cl 0.6368 0.0094 0.3516
Cl 0.6368 0.6274 0.1484
Cl 0.9906 0.3632 0.1484
Cl 0.9906 0.6274 0.3516


[3]
! BaCuHgTe2 GGA-PBE relaxed; values from VASP
! **Space group**: P4/mmm
! **Theoretical density**: 7.11 g/cm3
! **M_tot**: 0.00 μB/cell
! **VASP energy**: -3.128 eV/atom
&SYSTEM
  ibrav = 0, nat = 5, ntyp = 4
/
ATOMIC_SPECIES
Ba 137.33 Ba.upf
Cu 63.55 Cu.upf
Hg 200.59 Hg.upf
Te 127.60 Te.upf
CELL_PARAMETERS angstrom
5.4848 0.0000 0.0000
0.0000 5.4848 0.0000
0.0000 0.0000 5.0981
ATOMIC_POSITIONS crystal
Ba 0.0000 0.0000 0.0000
Cu 0.5000 0.5000 0.5000
Hg 0.5000 0.5000 0.0000
Te 0.0000 0.5000 0.5000
Te 0.5000 0.0000 0.5000


[4]
! BeZnSe2 GGA-PBE relaxed; values from VASP
! **Space group**: I-42d
! **Theoretical density**: 4.77 g/cm3
! **Energy above the most stable polymorph in this dataset**: 0.000 eV/f.u.
! **M_tot**: 0.00 μB/cell
&SYSTEM
  ibrav = 0, nat = 8, ntyp = 3
/
ATOMIC_SPECIES
Be 9.01 Be.upf
Zn 65.41 Zn.upf
Se 78.96 Se.upf
CELL_PARAMETERS angstrom
-2.7397 2.7397 5.3907
2.7397 -2.7397 5.3907
2.7397 2.7397 -5.3907
ATOMIC_POSITIONS crystal
Be 0.0000 0.0000 0.0000
Be 0.7500 0.2500 0.5000
Zn 0.2500 0.7500 0.5000
Zn 0.5000 0.5000 0.0000
Se 0.0907 0.6250 0.9657
Se 0.3750 0.3407 0.4657
Se 0.6593 0.1250 0.0343
Se 0.8750 0.9093 0.5343


[5]
! Ni4H3 GGA-PBE relaxed; values from VASP
! **Space group**: Pm-3m
! **Theoretical density**: 7.98 g/cm3
! **M_tot**: 0.00 μB/cell
! **VASP energy**: -4.773 eV/atom
&SYSTEM
  ibrav = 0, nat = 7, ntyp = 2
/
ATOMIC_SPECIES
Ni 58.69 Ni.upf
H 1.01 H.upf
CELL_PARAMETERS angstrom
3.6711 0.0000 0.0000
0.0000 3.6711 0.0000
0.0000 0.0000 3.6711
ATOMIC_POSITIONS crystal
Ni 0.0000 0.0000 0.0000
Ni 0.0000 0.5000 0.5000
Ni 0.5000 0.0000 0.5000
Ni 0.5000 0.5000 0.0000
H 0.0000 0.0000 0.5000
H 0.0000 0.5000 0.0000
H 0.5000 0.0000 0.0000


[6]
! AcMgTl2 GGA-PBE relaxed; values from VASP
! **Space group**: Pmmn
! **Theoretical density**: 9.03 g/cm3
! **Energy above the most stable polymorph in this dataset**: 0.000 eV/f.u.
! **M_tot**: 0.00 μB/cell
&SYSTEM
  ibrav = 0, nat = 8, ntyp = 3
/
ATOMIC_SPECIES
Ac 227.00 Ac.upf
Mg 24.30 Mg.upf
Tl 204.38 Tl.upf
CELL_PARAMETERS angstrom
5.0278 0.0000 0.0000
0.0000 7.5215 0.0000
0.0000 0.0000 6.4159
ATOMIC_POSITIONS crystal
Ac 0.2500 0.2500 0.1492
Ac 0.7500 0.7500 0.8508
Mg 0.2500 0.7500 0.3111
Mg 0.7500 0.2500 0.6889
Tl 0.2500 0.0219 0.6791
Tl 0.2500 0.4781 0.6791
Tl 0.7500 0.5219 0.3209
Tl 0.7500 0.9781 0.3209


[7]
! FeNi12B4 GGA-PBE relaxed; values from VASP
! **Space group**: Im-3
! **Theoretical density**: 7.43 g/cm3
! **M_tot**: 4.44 μB/cell
! **VASP energy**: -6.165 eV/atom
&SYSTEM
  ibrav = 0, nat = 17, ntyp = 3
/
ATOMIC_SPECIES
Fe 55.84 Fe.upf
Ni 58.69 Ni.upf
B 10.81 B.upf
CELL_PARAMETERS angstrom
-3.5533 3.5533 3.5533
3.5533 -3.5533 3.5533
3.5533 3.5533 -3.5533
ATOMIC_POSITIONS crystal
Fe 0.0000 0.0000 0.0000
Ni 0.1503 0.3218 0.8285
Ni 0.1715 0.4933 0.3218
Ni 0.1715 0.8497 0.6782
Ni 0.3218 0.1715 0.4933
Ni 0.3218 0.8285 0.1503
Ni 0.4933 0.3218 0.1715
Ni 0.5067 0.6782 0.8285
Ni 0.6782 0.1715 0.8497
Ni 0.6782 0.8285 0.5067
Ni 0.8285 0.1503 0.3218
Ni 0.8285 0.5067 0.6782
Ni 0.8497 0.6782 0.1715
B 0.0000 0.0000 0.5000
B 0.0000 0.5000 0.0000
B 0.5000 0.0000 0.0000
B 0.5000 0.5000 0.5000


[8]
! AcY6Se8 GGA-PBE relaxed; values from VASP
! **Space group**: R-3
! **Theoretical density**: 5.11 g/cm3
! **M_tot**: 0.78 μB/cell
! **VASP energy**: -6.290 eV/atom
&SYSTEM
  ibrav = 0, nat = 15, ntyp = 3
/
ATOMIC_SPECIES
Ac 227.00 Ac.upf
Y 88.91 Y.upf
Se 78.96 Se.upf
CELL_PARAMETERS angstrom
5.4487 3.1458 4.3961
-5.4487 3.1458 4.3961
0.0000 -6.2916 4.3961
ATOMIC_POSITIONS crystal
Ac 0.0000 0.0000 0.0000
Y 0.1903 0.4097 0.5715
Y 0.4097 0.5715 0.1903
Y 0.4285 0.8097 0.5903
Y 0.5715 0.1903 0.4097
Y 0.5903 0.4285 0.8097
Y 0.8097 0.5903 0.4285
Se 0.1337 0.7440 0.3619
Se 0.2428 0.2428 0.2428
Se 0.2560 0.6381 0.8663
Se 0.3619 0.1337 0.7440
Se 0.6381 0.8663 0.2560
Se 0.7440 0.3619 0.1337
Se 0.7572 0.7572 0.7572
Se 0.8663 0.2560 0.6381


[9]
! NdAlRh GGA-PBE relaxed; values from VASP
! **Space group**: Pnma
! **Theoretical density**: 7.39 g/cm3
! **M_tot**: 0.00 μB/cell
! **VASP energy**: -6.113 eV/atom
&SYSTEM
  ibrav = 0, nat = 12, ntyp = 3
/
ATOMIC_SPECIES
Nd 144.24 Nd.upf
Al 26.98 Al.upf
Rh 102.91 Rh.upf
CELL_PARAMETERS angstrom
7.0784 0.0000 0.0000
0.0000 4.2672 0.0000
0.0000 0.0000 8.1536
ATOMIC_POSITIONS crystal
Nd 0.0384 0.2500 0.1814
Nd 0.4616 0.7500 0.6814
Nd 0.5384 0.2500 0.3186
Nd 0.9616 0.7500 0.8186
Al 0.1341 0.2500 0.5609
Al 0.3659 0.7500 0.0609
Al 0.6341 0.2500 0.9391
Al 0.8659 0.7500 0.4391
Rh 0.2285 0.7500 0.3838
Rh 0.2715 0.2500 0.8838
Rh 0.7285 0.7500 0.1162
Rh 0.7715 0.2500 0.6162


[10]
! TlReSi2 GGA-PBE relaxed; values from VASP
! **Space group**: Amm2
! **Theoretical density**: 10.51 g/cm3
! **Energy above the most stable polymorph in this dataset**: 1.038 eV/f.u.
! **M_tot**: 0.00 μB/cell
&SYSTEM
  ibrav = 0, nat = 4, ntyp = 3
/
ATOMIC_SPECIES
Tl 204.38 Tl.upf
Re 186.21 Re.upf
Si 28.09 Si.upf
CELL_PARAMETERS angstrom
4.3532 0.0000 0.0000
0.0000 1.7030 4.7598
0.0000 -1.7030 4.7598
ATOMIC_POSITIONS crystal
Tl 0.0000 0.0000 0.0000
Re 0.5000 0.6169 0.6169
Si 0.0000 0.7334 0.7334
Si 0.5000 0.3117 0.3117


[11]
! Tb4Th2Sn3N2 GGA-PBE relaxed; values from VASP
! **Space group**: I4/mmm
! **Theoretical density**: 8.59 g/cm3
! **M_tot**: 0.00 μB/cell
! **VASP energy**: -6.621 eV/atom
&SYSTEM
  ibrav = 0, nat = 11, ntyp = 4
/
ATOMIC_SPECIES
Tb 158.93 Tb.upf
Th 232.04 Th.upf
Sn 118.71 Sn.upf
N 14.01 N.upf
CELL_PARAMETERS angstrom
-2.3664 2.3664 12.8041
2.3664 -2.3664 12.8041
2.3664 2.3664 -12.8041
ATOMIC_POSITIONS crystal
Tb 0.0811 0.5811 0.5000
Tb 0.4189 0.9189 0.5000
Tb 0.5811 0.0811 0.5000
Tb 0.9189 0.4189 0.5000
Th 0.1909 0.1909 0.0000
Th 0.8091 0.8091 0.0000
Sn 0.3239 0.3239 0.0000
Sn 0.5000 0.5000 0.0000
Sn 0.6761 0.6761 0.0000
N 0.1021 0.1021 0.0000
N 0.8979 0.8979 0.0000


[12]
! Nd6RuRh2Cl3 GGA-PBE relaxed; values from VASP
! **Space group**: C2/m
! **Theoretical density**: 6.50 g/cm3
! **M_tot**: 0.00 μB/cell
! **VASP energy**: -5.923 eV/atom
&SYSTEM
  ibrav = 0, nat = 12, ntyp = 4
/
ATOMIC_SPECIES
Nd 144.24 Nd.upf
Ru 101.07 Ru.upf
Rh 102.91 Rh.upf
Cl 35.45 Cl.upf
CELL_PARAMETERS angstrom
9.6298 -2.0284 0.0000
9.6298 2.0284 0.0000
-3.2053 0.0000 8.3679
ATOMIC_POSITIONS crystal
Nd 0.0079 0.0079 0.2232
Nd 0.3236 0.3236 0.4419
Nd 0.3458 0.3458 0.8976
Nd 0.6542 0.6542 0.1024
Nd 0.6764 0.6764 0.5581
Nd 0.9921 0.9921 0.7768
Ru 0.5000 0.5000 0.0000
Rh 0.1673 0.1673 0.3336
Rh 0.8327 0.8327 0.6664
Cl 0.1649 0.1649 0.8312
Cl 0.5000 0.5000 0.5000
Cl 0.8351 0.8351 0.1688